Record 1
First-principles (PBE) data for CsTl2C after structural relaxation, as listed in Alexandria.

a b c (Å): 8.0798 8.0798 7.1001
angles (deg): 55.32 55.32 90.00
With the nearest neighbours (Å) after each atom.
Fractional positions:
Cs 0.0000 0.0000 0.0000  8 Tl 3.84-3.93, 2 C 4.22
Cs 0.7500 0.2500 0.5000  8 Tl 3.84-3.93, 2 C 4.22
Tl 0.4781 0.1250 0.2500  2 C 2.43
Tl 0.2719 0.6250 0.2500  2 C 2.43
Tl 0.3750 0.5219 0.7500  2 C 2.43
Tl 0.8750 0.7281 0.7500  2 C 2.43
C 0.5000 0.5000 0.0000  4 Tl 2.43
C 0.2500 0.7500 0.5000  4 Tl 2.43

Properties
Energy relative to the elements = 0.946 eV/atom
Density of states at the Fermi level = 5.62 states/eV/cell
Energy = -2.76 eV/atom

Record 2
First-principles (PBE) data for Cd2HgSbPb after structural relaxation, as listed in Alexandria.

a b c (Å): 5.2851 5.9401 5.2851
angles (deg): 90.00 90.00 90.00
With the nearest neighbours (Å) after each atom.
Fractional positions:
Pb 0.0000 0.5000 0.0000  2 Hg 2.97
Sb 0.5000 0.5000 0.5000  4 Pb 3.74, 8 Cd 3.98
Hg 0.0000 0.0000 0.0000  4 Cd 2.64
Cd 0.0000 0.0000 0.5000  2 Hg 2.64
Cd 0.5000 0.0000 0.0000  2 Hg 2.64

Properties
Density of states at the Fermi level = 3.63 states/eV/cell
Energy = -1.57 eV/atom

- Among the records above, which one has the lowest density of states at the Fermi level?
  Cd2HgSbPb

- What is the density of states at the Fermi level in the first record?
  5.62 states/eV/cell

- Look up the energy of the second one.
  -1.57 eV/atom

- What is the energy in the first record?
  -2.76 eV/atom